1.
A relaxed structure of Th2Si3Ni. Source: Alexandria, functional PBE.

Calculated values
Total energy = -41.8 eV/cell
Magnetic moment = 0.00 μB/f.u.
Density of states at the Fermi level = 2.36 states/eV per cell
ΔE_f (raw) = -478 kJ/mol of formula units
SG = Pmm2 (25)

Cell: 4.072 4.220 6.959 Å, 90.00 90.00 90.00°
Fractional positions:
Th 0.000 0.000 0.000
Th 0.500 0.000 0.495
Si 0.000 0.500 0.321
Si 0.000 0.500 0.664
Si 0.500 0.500 0.846
Ni 0.500 0.500 0.169

2.
A relaxed structure of TmZn2. Source: Alexandria, functional PBE.

Calculated values
Total energy = -16.0 eV/cell
E_form = -0.33 eV/atom
Magnetic moment = 0.00 μB/f.u.
Density of states at the Fermi level = 3.07 states/eV per cell
SG = Fd-3m (227)

Cell: 5.410 5.410 5.410 Å, 60.00 60.00 60.00°
Fractional positions:
Tm 0.125 0.125 0.125
Tm 0.875 0.875 0.875
Zn 0.000 0.500 0.500
Zn 0.500 0.000 0.500
Zn 0.500 0.500 0.000
Zn 0.500 0.500 0.500

Ordered mass density results: 8.43 8.89; unit g cm⁻³.